1.
DFT (PBE-GGA) results for crystalline Lu6FeBi2 at its relaxed geometry.

Calculated values
electronic total energy: -47.071 eV/cell
energy relative to the elements: -0.413 eV per atom

```
Lu6FeBi2
1.0
-1.794 0.602 3.637
-7.324 -0.854 -3.471
3.876 -6.515 2.991
Lu Bi Fe
6 2 1
Cartesian
-5.827 -4.577 0.195 Lu
0.889 -1.495 0.686 Lu
-1.545 -6.741 2.665 Lu
2.195 -6.711 2.195 Lu
-2.215 -2.516 1.635 Lu
-2.657 -5.678 -0.370 Lu
0.143 -4.628 0.837 Bi
-3.591 -2.741 -1.317 Bi
-0.897 0.301 1.819 Fe
```

2.
DFT (PBE-GGA) results for crystalline Mg14FeBi at its relaxed geometry.

Calculated values
excess energy over the best structure of this formula in the dataset: 0.00 eV/f.u.
electronic total energy: -33.836 eV/cell
energy relative to the elements: 0.052 eV per atom

```
Mg14FeBi
1.0
3.165 -5.482 0.000
3.165 5.482 0.000
0.000 0.000 10.216
Bi Mg Fe
1 14 1
Cartesian
0.000 0.000 5.108 Bi
3.165 0.019 5.108 Mg
3.165 -1.827 7.626 Mg
1.556 0.898 7.812 Mg
3.165 -0.031 0.000 Mg
1.599 2.731 5.108 Mg
3.165 3.685 7.812 Mg
1.556 0.898 2.403 Mg
4.721 -2.726 0.000 Mg
3.165 3.685 2.403 Mg
4.731 2.731 5.108 Mg
3.165 -1.827 2.590 Mg
1.609 -2.726 0.000 Mg
4.774 0.898 7.812 Mg
4.774 0.898 2.403 Mg
0.000 0.000 0.000 Fe
```

3.
DFT (PBE-GGA) results for crystalline MgFeBi3 at its relaxed geometry.

Calculated values
excess energy over the best structure of this formula in the dataset: 0.00 eV/f.u.
electronic total energy: -19.600 eV/cell
energy relative to the elements: 0.420 eV per atom

```
MgFeBi3
1.0
-0.612 -3.120 -4.080
-2.871 -3.199 2.877
-4.259 2.605 -1.353
Bi Fe Mg
3 1 1
Cartesian
-1.435 -1.599 1.439 Bi
-2.129 1.302 -0.677 Bi
-0.306 -1.560 -2.040 Bi
0.000 0.000 0.000 Fe
-3.871 -1.857 -1.278 Mg
```

4.
DFT (PBE-GGA) results for crystalline MgFeBi at its relaxed geometry.

Calculated values
electronic total energy: -27.293 eV/cell
energy relative to the elements: 0.097 eV per atom

```
MgFeBi
1.0
4.327 0.000 0.000
0.000 4.327 0.000
0.000 0.000 6.675
Bi Mg Fe
2 2 2
Cartesian
2.164 0.000 5.162 Bi
0.000 2.164 1.513 Bi
2.164 0.000 1.553 Mg
0.000 2.164 5.122 Mg
0.000 0.000 3.337 Fe
2.164 2.164 3.337 Fe
```

5.
DFT (PBE-GGA) results for crystalline Mg14FeBi at its relaxed geometry.

Calculated values
excess energy over the best structure of this formula in the dataset: 0.21 eV/f.u.
electronic total energy: -33.627 eV/cell
energy relative to the elements: 0.065 eV per atom

```
Mg14FeBi
1.0
-1.166 0.947 -6.166
0.114 -5.910 2.309
-9.978 0.580 1.976
Mg Bi Fe
14 1 1
Cartesian
-8.096 -3.923 -0.754 Mg
-3.268 -4.204 -1.710 Mg
-3.356 -1.153 -2.866 Mg
-2.719 -1.616 0.302 Mg
-7.641 -4.355 2.423 Mg
-0.314 -3.616 -0.527 Mg
-0.373 -0.694 -1.679 Mg
-8.113 -0.876 -1.924 Mg
-2.526 -4.652 1.410 Mg
-5.357 -0.370 -0.677 Mg
-7.547 -1.335 1.257 Mg
-0.891 -3.137 -3.577 Mg
-5.887 -2.869 -2.619 Mg
-0.952 -0.197 -4.751 Mg
-5.296 -3.367 0.512 Bi
-5.950 0.140 -3.822 Fe
```

6.
DFT (PBE-GGA) results for crystalline Mg2FeBi2 at its relaxed geometry.

Calculated values
electronic total energy: -35.536 eV/cell
energy relative to the elements: 0.329 eV per atom

```
Mg2FeBi2
1.0
-0.544 -6.652 -1.681
6.650 -0.926 1.512
-1.249 -1.114 4.811
Mg Fe Bi
4 2 4
Cartesian
0.305 -2.927 2.098 Mg
4.553 -5.765 2.544 Mg
1.137 -6.407 1.509 Mg
3.720 -2.285 3.133 Mg
3.053 -3.789 -0.084 Fe
0.000 0.000 0.000 Fe
2.181 -1.374 0.248 Bi
5.407 -3.046 0.699 Bi
0.700 -4.532 -0.868 Bi
3.926 -6.204 -0.417 Bi
```